Record 1
! Hg4Mo3 GGA-PBE relaxed; values from VASP
! raw total energy = -4.189 eV/atom
! symmetry = No. 191
&SYSTEM
  ibrav = 0, nat = 7, ntyp = 2
/
ATOMIC_SPECIES
Hg 200.59 Hg.upf
Mo 95.94 Mo.upf
ATOMIC_POSITIONS angstrom
Hg 0.842 -1.051 -0.251
Hg 2.523 -3.152 -0.752
Hg 1.332 -3.080 2.423
Hg -0.591 -4.091 0.207
Mo -2.098 -1.500 -0.754
Mo -1.312 -1.484 1.816
Mo 0.786 0.017 2.570
CELL_PARAMETERS angstrom
1.572 0.033 5.139
-4.196 -3.001 -1.507
3.365 -4.203 -1.002

=====

Record 2
! Hg3Mo GGA-PBE relaxed; values from VASP
! raw total energy = -2.178 eV/atom
! symmetry = No. 225
&SYSTEM
  ibrav = 0, nat = 4, ntyp = 2
/
ATOMIC_SPECIES
Hg 200.59 Hg.upf
Mo 95.94 Mo.upf
ATOMIC_POSITIONS angstrom
Hg 0.000 0.000 0.000
Hg -2.356 1.407 5.351
Hg -1.178 0.704 2.676
Mo -3.534 2.111 8.027
CELL_PARAMETERS angstrom
-4.032 1.578 2.315
-1.087 -1.703 4.475
0.407 2.940 3.912

=====

Record 3
! Hg2Mo GGA-PBE relaxed; values from VASP
! raw total energy = -3.266 eV/atom
! symmetry = No. 63
&SYSTEM
  ibrav = 0, nat = 6, ntyp = 2
/
ATOMIC_SPECIES
Hg 200.59 Hg.upf
Mo 95.94 Mo.upf
ATOMIC_POSITIONS angstrom
Hg 2.505 1.063 2.775
Hg -0.993 3.334 1.732
Hg 0.813 -1.059 3.826
Hg -2.684 1.212 2.783
Mo -0.272 1.631 4.463
Mo 0.092 0.645 1.095
CELL_PARAMETERS angstrom
-6.466 3.097 0.317
4.632 -4.110 3.627
1.654 3.289 1.614

=====

Record 4
! HgMo GGA-PBE relaxed; values from VASP
! raw total energy = -4.657 eV/atom
! symmetry = No. 186
&SYSTEM
  ibrav = 0, nat = 4, ntyp = 2
/
ATOMIC_SPECIES
Hg 200.59 Hg.upf
Mo 95.94 Mo.upf
ATOMIC_POSITIONS angstrom
Hg 0.000 1.674 0.570
Hg 1.450 0.837 5.872
Mo 0.000 1.674 3.364
Mo 1.450 0.837 8.666
CELL_PARAMETERS angstrom
2.899 0.000 0.000
-1.450 2.511 0.000
0.000 0.000 10.604

=====

Record 5
! Hg2Mo GGA-PBE relaxed; values from VASP
! raw total energy = -3.231 eV/atom
! symmetry = No. 164
&SYSTEM
  ibrav = 0, nat = 3, ntyp = 2
/
ATOMIC_SPECIES
Hg 200.59 Hg.upf
Mo 95.94 Mo.upf
ATOMIC_POSITIONS angstrom
Hg 0.000 0.000 0.107
Hg 0.000 1.746 4.841
Mo 1.512 0.873 2.474
CELL_PARAMETERS angstrom
3.025 0.000 0.000
-1.512 2.620 0.000
0.000 0.000 7.422

=====

Record 6
! HgMo GGA-PBE relaxed; values from VASP
! raw total energy = -5.036 eV/atom
! symmetry = No. 38
&SYSTEM
  ibrav = 0, nat = 12, ntyp = 2
/
ATOMIC_SPECIES
Hg 200.59 Hg.upf
Mo 95.94 Mo.upf
ATOMIC_POSITIONS angstrom
Hg -2.442 4.285 3.978
Hg -3.614 2.899 9.763
Hg -2.520 -0.347 9.475
Hg -1.249 1.157 3.201
Hg -3.592 5.673 0.632
Hg -3.671 1.042 6.129
Mo -4.896 0.565 11.082
Mo -2.936 2.885 1.404
Mo -2.532 -1.176 4.520
Mo -3.015 -1.747 6.901
Mo -0.755 2.107 0.352
Mo -3.120 3.848 6.913
CELL_PARAMETERS angstrom
-2.802 -0.875 -0.777
-2.443 -2.890 12.058
-2.285 6.373 1.064

=====

Record 7
! Hg3Mo GGA-PBE relaxed; values from VASP
! raw total energy = -2.026 eV/atom
! symmetry = No. 221
&SYSTEM
  ibrav = 0, nat = 4, ntyp = 2
/
ATOMIC_SPECIES
Hg 200.59 Hg.upf
Mo 95.94 Mo.upf
ATOMIC_POSITIONS angstrom
Hg -0.046 1.662 2.207
Hg 0.724 -2.123 1.614
Hg -2.667 -0.605 0.400
Mo 0.000 0.000 0.000
CELL_PARAMETERS angstrom
-5.333 -1.210 0.801
1.448 -4.247 3.228
-0.091 3.324 4.415

=====

Record 8
! Hg2Mo GGA-PBE relaxed; values from VASP
! raw total energy = -3.239 eV/atom
! symmetry = No. 187
&SYSTEM
  ibrav = 0, nat = 6, ntyp = 2
/
ATOMIC_SPECIES
Hg 200.59 Hg.upf
Mo 95.94 Mo.upf
ATOMIC_POSITIONS angstrom
Hg 0.000 0.000 12.229
Hg 0.000 0.000 2.734
Hg 0.000 0.000 7.482
Hg 1.514 -0.874 0.000
Mo 1.514 -0.874 5.103
Mo 1.514 -0.874 9.860
CELL_PARAMETERS angstrom
1.514 -2.622 0.000
1.514 2.622 0.000
0.000 0.000 14.963

=====

no.,polymorph energy (0 for the lowest one) (eV/f.u.),total moment (μB/f.u.)
1,0.724,0.0
2,1.791,2.7
3,0.819,0.0
4,0.981,0.0
5,0.923,0.0
6,0.224,0.0
7,2.402,3.1
8,0.900,0.0